[1]
LiHoErS3 after structural relaxation. Source: the Alexandria database, functional PBE.

Cell lengths 7.9445, 3.7617, 8.2847 Å; angles 90.00, 102.31, 90.00 degrees
Last column: nearest neighbours and their distance in Å.
Space group P2_1/m (No. 11)
One atom of each set of equivalent atoms:
Li 0.0876 0.2500 0.0831 x2  4 S 2.35-2.38, 2 Li 2.56
Ho 0.1853 0.2500 0.7191 x2  7 S 2.74-2.91
Er 0.3384 0.7500 0.3321 x2  6 S 2.69-2.78
S 0.0933 0.2500 0.3689 x2  1 Li 2.36
S 0.2189 0.7500 0.9915 x2  3 Li 2.35-2.38
S 0.4207 0.7500 0.6704 x2  3 Er 2.69-2.74, 2 Ho 2.74

E_form (uncorrected) ... -1.79 eV/atom
E ... -68.341 eV for the cell shown
Volume ... 20.2 Å³/atom

***

[2]
CuRuW after structural relaxation. Source: the Alexandria database, functional PBE.

Cell lengths 4.4530, 7.7005, 5.1034 Å; angles 90.00, 90.00, 90.00 degrees
Last column: nearest neighbours and their distance in Å.
Space group Cmcm (No. 63)
One atom of each set of equivalent atoms:
Cu 0.0000 0.0000 0.0000 x4  2 Cu 2.55, 2 Ru 2.85
Ru 0.0000 0.3307 0.2500 x4  5 W 2.55-2.57, 2 Cu 2.85
W 0.0000 0.3355 0.7500 x4  5 Ru 2.55-2.57

E above lowest polymorph ... 196 meV/atom
E ... -101.632 eV for the cell shown
Energy relative to the elements ... 0.306 eV/atom
Volume ... 14.6 Å³/atom

***

[3]
CeInPb2 after structural relaxation. Source: the Alexandria database, functional PBE.

Cell lengths 4.8842, 4.8842, 4.7317 Å; angles 90.00, 90.00, 90.00 degrees
Last column: nearest neighbours and their distance in Å.
Space group P4/mmm (No. 123)
One atom of each set of equivalent atoms:
Ce 0.0000 0.0000 0.0000 x1  8 Pb 3.40, 4 In 3.45
In 0.5000 0.5000 0.0000 x1  8 Pb 3.40, 4 Ce 3.45
Pb 0.0000 0.5000 0.5000 x2  4 In 3.40, 4 Ce 3.40, 4 Pb 3.45

E above lowest polymorph ... 0 meV/atom
E ... -17.581 eV for the cell shown
Energy relative to the elements ... -0.373 eV/atom
Volume ... 28.2 Å³/atom

***

[4]
NbCu after structural relaxation. Source: the Alexandria database, functional PBE.

Cell lengths 8.4726, 8.4726, 3.7023 Å; angles 90.00, 90.00, 90.00 degrees
Last column: nearest neighbours and their distance in Å.
Space group I4/mmm (No. 139)
One atom of each set of equivalent atoms:
Nb 0.0000 0.3220 0.0000 x8  6 Cu 2.67-2.86, 4 Nb 2.82
Cu 0.1629 0.1629 0.5000 x8  6 Nb 2.67-2.86, 4 Cu 2.76-2.79

E ... -108.246 eV for the cell shown
Energy relative to the elements ... 0.318 eV/atom
Volume ... 16.6 Å³/atom

***

[5]
Sm8Co3HCl4 after structural relaxation. Source: the Alexandria database, functional PBE.

Cell lengths 7.7621, 7.7621, 22.2252 Å; angles 90.00, 90.00, 120.00 degrees
Last column: nearest neighbours and their distance in Å.
Space group R-3m (No. 166, hexagonal axes)
One atom of each set of equivalent atoms:
Sm 0.0000 0.0000 0.2331 x6  3 Co 2.68
Sm 0.0017 0.5009 0.7669 x18  2 Co 2.68, 1 H 2.69
Co 0.0000 0.5000 0.5000 x9  6 Sm 2.68
H 0.0000 0.0000 0.5000 x3  6 Sm 2.69
Cl 0.0000 0.0000 0.0000 x3  6 Sm 3.15
Cl 0.0000 0.5000 0.0000 x9  6 Sm 3.16

E ... -250.110 eV for the cell shown
Volume ... 24.2 Å³/atom

***

[6]
Ta2AlHg after structural relaxation. Source: the Alexandria database, functional PBE.

Cell lengths 4.0075, 4.0075, 4.4724 Å; angles 90.00, 90.00, 90.00 degrees
Last column: nearest neighbours and their distance in Å.
Space group P4/mmm (No. 123)
One atom of each set of equivalent atoms:
Ta 0.0000 0.5000 0.0000 x2  4 Ta 2.83, 4 Hg 3.00, 4 Al 3.00
Al 0.0000 0.0000 0.5000 x1  4 Hg 2.83, 8 Ta 3.00
Hg 0.5000 0.5000 0.5000 x1  4 Al 2.83, 8 Ta 3.00

E above lowest polymorph ... 39 meV/atom
E ... -27.348 eV for the cell shown
Energy relative to the elements ... 0.100 eV/atom
Volume ... 18.0 Å³/atom

***

no.,density of states at the Fermi level (states/eV/cell)
1,3.82
2,8.97
3,5.42
4,16.64
5,23.28
6,2.19